First-principles (PBE) data for a relaxed structure of Pm3HoTl, as listed in Alexandria.

The structure in POSCAR format:
```
Pm3HoTl
1.0
2.4445 -12.8579 0.0000
2.4445 12.8579 0.0000
0.0000 0.0000 4.8977
Pm Ho Tl
6 2 2
Direct
0.0533 0.9467 0.7500
0.2492 0.7508 0.7500
0.4475 0.5525 0.7500
0.5525 0.4475 0.2500
0.7508 0.2492 0.2500
0.9467 0.0533 0.2500
0.1509 0.8491 0.2500
0.8491 0.1509 0.7500
0.3468 0.6532 0.2500
0.6532 0.3468 0.7500
```

* crystal system: orthorhombic
* SG: Cmcm, No. 63
* polymorph energy (0 for the lowest one): 0.000 eV/atom
* D(E_F): 1.1919 states/eV per atom
* total DFT energy (no corrections): -0.161 Ha/atom
* formation enthalpy at 0 K: -0.129 eV/atom